VASP calculation (PBE+U) on K2RbV2O7 after structural relaxation.

The structure in extended XYZ format:
```
12
Lattice="-6.522 -0.691 -0.895 -2.507 -5.899 -1.655 -3.881 -3.996 6.886" Properties=species:S:1:pos:R:3 pbc="T T T"
V -3.683 -3.588 5.130
V -9.227 -6.998 -0.794
O -8.577 -5.775 0.224
O -5.635 -7.875 3.253
O 0.000 0.000 0.000
O -5.925 -2.569 1.268
O -5.164 -3.734 4.270
O -4.359 -6.494 0.531
O -9.070 -5.313 3.462
K -9.604 -7.777 2.555
K -3.306 -2.809 1.781
Rb -6.455 -5.293 2.168
```

Its symmetry is R32. As for the total DFT energy (no corrections): -74.3 eV per formula unit. The volume comes out at 303.2 Å³/f.u.